(1)
CuRhW2 | PBE-GGA | optimized geometry

The value obtained for the density is 14.886 Mg/m³. The value obtained for the calculated formation energy is 272 meV/atom. The calculation puts the total magnetization at 0.00 Bohr magnetons per cell. Its polymorph energy (0 for the lowest one) is 0.183 eV per atom. As for the density of states at the Fermi level: 1.33 states/eV per atom.

It has space group F-43m (No. 216), with a = 6.200 Å, b = 6.200 Å, c = 6.200 Å, α = 90.00°, β = 90.00° and γ = 90.00°. The asymmetric unit holds Cu at (0.000, 0.000, 0.000), Rh at (0.250, 0.250, 0.750), W at (0.000, 0.000, 0.500) and W at (0.250, 0.250, 0.250).

=====

(2)
CdTcAg2 | PBE-GGA | optimized geometry

The value obtained for the density is 9.982 Mg/m³. The value obtained for the calculated formation energy is 466 meV/atom. The calculation puts the total magnetization at 1.23 Bohr magnetons per cell. As for the density of states at the Fermi level: 0.69 states/eV per atom.

It has space group Imm2 (No. 44), with a = 2.798 Å, b = 5.040 Å, c = 10.053 Å, α = 90.00°, β = 90.00° and γ = 90.00°. The asymmetric unit holds Cd at (0.000, 0.000, 0.000), Tc at (0.000, 0.500, 0.751), Ag at (0.000, 0.000, 0.498) and Ag at (0.000, 0.500, 0.248).